Below is a relaxed Tb6NdSn4 crystal, with properties calculated at the PBE level.

Summary:
space-group type: I-42m
formation enthalpy at 0 K: -0.353 eV per atom
uncorrected energy: -4.7675 eV per atom
DOS at the Fermi energy: 12.896 states/eV per cell

a b c (Å): 8.119 8.119 8.119
angles (deg): 121.62 121.62 87.22
Atoms (fractional coordinates):
Tb1 0.000 0.500 0.500
Tb2 0.162 0.162 0.675
Tb3 0.487 0.487 0.325
Tb4 0.500 0.000 0.500
Tb5 0.513 0.838 0.000
Tb6 0.838 0.513 0.000
Nd1 0.000 0.000 0.000
Sn1 0.191 0.624 0.000
Sn2 0.376 0.376 0.567
Sn3 0.624 0.191 0.000
Sn4 0.809 0.809 0.433

Below is a relaxed MnAl2Sb crystal, with properties calculated at the PBE level.

Summary:
space-group type: I4/mmm
uncorrected formation energy: 0.167 eV per atom
uncorrected energy: -5.0273 eV per atom
DOS at the Fermi energy: 4.697 states/eV per cell

a b c (Å): 3.979 3.979 9.030
angles (deg): 90.00 90.00 90.00
Atoms (fractional coordinates):
Mn1 0.000 0.000 0.000
Mn2 0.500 0.500 0.500
Al1 0.000 0.500 0.250
Al2 0.000 0.500 0.750
Al3 0.500 0.000 0.250
Al4 0.500 0.000 0.750
Sb1 0.000 0.000 0.500
Sb2 0.500 0.500 0.000

Below is a relaxed LaReAs2 crystal, with properties calculated at the PBE level.

Summary:
energy above the lowest structure with this stoichiometry: 255 meV/atom
space-group type: P2/m
formation enthalpy at 0 K: -0.318 eV per atom
uncorrected energy: -6.9865 eV per atom
DOS at the Fermi energy: 1.496 states/eV per cell

a b c (Å): 4.052 4.272 5.189
angles (deg): 90.00 93.34 90.00
Atoms (fractional coordinates):
La1 0.000 0.000 0.000
Re1 0.500 0.000 0.500
As1 0.454 0.500 0.757
As2 0.546 0.500 0.243

Below is a relaxed Cs2ZnPtBr6 crystal, with properties calculated at the PBE level.

Summary:
space-group type: I4/mmm
uncorrected formation energy: -0.947 eV per atom
uncorrected energy: -2.8527 eV per atom
DOS at the Fermi energy: 0.215 states/eV per cell

a b c (Å): 7.775 7.775 7.775
angles (deg): 122.07 122.07 86.45
Atoms (fractional coordinates):
Cs1 0.250 0.750 0.500
Cs2 0.750 0.250 0.500
Zn1 0.000 0.000 0.000
Pt1 0.500 0.500 0.000
Br1 0.245 0.245 0.491
Br2 0.245 0.755 0.000
Br3 0.279 0.279 0.000
Br4 0.721 0.721 0.000
Br5 0.755 0.245 0.000
Br6 0.755 0.755 0.509

Below is a relaxed Li2TaAg crystal, with properties calculated at the PBE level.

Summary:
energy above the lowest structure with this stoichiometry: 495 meV/atom
space-group type: I4/mmm
formation enthalpy at 0 K: 0.638 eV per atom
uncorrected energy: -3.9949 eV per atom
DOS at the Fermi energy: 6.957 states/eV per cell

a b c (Å): 3.940 3.940 9.005
angles (deg): 90.00 90.00 90.00
Atoms (fractional coordinates):
Li1 0.000 0.500 0.250
Li2 0.000 0.500 0.750
Li3 0.500 0.000 0.250
Li4 0.500 0.000 0.750
Ta1 0.000 0.000 0.000
Ta2 0.500 0.500 0.500
Ag1 0.000 0.000 0.500
Ag2 0.500 0.500 0.000

Below is a relaxed LaErOs crystal, with properties calculated at the PBE level.

Summary:
energy above the lowest structure with this stoichiometry: 0 meV/atom
space-group type: Cmce
formation enthalpy at 0 K: -0.161 eV per atom
uncorrected energy: -7.0675 eV per atom
DOS at the Fermi energy: 8.883 states/eV per cell

a b c (Å): 7.505 7.505 7.248
angles (deg): 90.00 90.00 128.02
Atoms (fractional coordinates):
La1 0.199 0.801 0.888
La2 0.301 0.699 0.388
La3 0.699 0.301 0.612
La4 0.801 0.199 0.112
Er1 0.219 0.281 0.750
Er2 0.281 0.219 0.250
Er3 0.719 0.781 0.750
Er4 0.781 0.719 0.250
Os1 0.112 0.888 0.543
Os2 0.388 0.612 0.043
Os3 0.612 0.388 0.957
Os4 0.888 0.112 0.457